This record from OQMD describes an optimized crystal structure of CoTcPb2O6. The functional is PBE with a Hubbard U.

For the final energy, the calculation gives -6.365 eV per atom.

The space group is Fm-3m (No. 225) and the conventional cell measures 7.920, 7.920 and 7.920 Å, with angles of 90.00, 90.00 and 90.00 degrees. Symmetry generates all atoms from Co at (0.000, 0.000, 0.000), Tc at (0.000, 0.000, 0.500), Pb at (0.250, 0.250, 0.250) and O at (0.000, 0.000, 0.256).